# TlCd2MoO

TlCd2MoO after structural relaxation (PBE+U, Alexandria via LeMat-Bulk).

- space group = P4/mmm (123)
- final energy (eV/atom) = -2.521
- total magnetic moment (μB/f.u.) = 5.28

abc: 5.8898 5.8898 4.2424
angles: 90.00 90.00 90.00
Element x y z (fractional)
Tl: 0.0000 0.0000 0.0000
Cd: 0.0000 0.5000 0.0000
Cd: 0.5000 0.0000 0.0000
Mo: 0.5000 0.5000 0.5000
O: 0.0000 0.0000 0.5000